# TbZn2SiRh2 | Alexandria | PBE | optimized geometry
# Formation energy from raw total energies, eV per atom: -0.41
# Energy, eV/cell: -29.79
# Total magnetic moment, μB per cell: 0.2
data_TbZn2SiRh2
_chemical_formula_sum 'Tb1 Zn2 Si1 Rh2'
_symmetry_space_group_name_H-M 'P 4/m m m'
_symmetry_Int_Tables_number 123
_symmetry_space_group_name_Hall '-P 4 2'
_cell_length_a 4.4444
_cell_length_b 4.4444
_cell_length_c 5.6178
_cell_angle_alpha 90.00
_cell_angle_beta 90.00
_cell_angle_gamma 90.00
loop_
_atom_site_label
_atom_site_type_symbol
_atom_site_fract_x
_atom_site_fract_y
_atom_site_fract_z
Tb1 Tb 0.0000 0.0000 0.0000
Zn1 Zn 0.5000 0.5000 0.2259
Si1 Si 0.0000 0.0000 0.5000
Rh1 Rh 0.0000 0.5000 0.5000